[1]
Compound: Nd3Dy4Pt4
Source: the Alexandria database
Functional: PBE-GGA
Structure: relaxed

Cell: 4.619 7.828 9.048 Å, 115.63 104.79 90.00°
Element x y z (fractional)
Dy 0.329 0.540 0.658
Dy 0.329 0.117 0.658
Dy 0.671 0.460 0.342
Dy 0.671 0.883 0.342
Nd 0.898 0.898 0.797
Nd 0.000 0.500 0.000
Nd 0.102 0.102 0.203
Pt 0.791 0.291 0.583
Pt 0.209 0.709 0.417
Pt 0.500 0.814 0.000
Pt 0.500 0.186 0.000

Results
calculated volume	25.7	A^3/atom
E	-66.602	eV for the cell shown



[2]
Compound: Nd2Dy2Pt15
Source: the Alexandria database
Functional: PBE-GGA
Structure: relaxed

Cell: 7.116 7.116 7.116 Å, 82.40 82.40 82.40°
Element x y z (fractional)
Nd 0.642 0.642 0.642
Nd 0.358 0.358 0.358
Pt 0.689 0.000 0.311
Pt 0.000 0.000 0.500
Pt 0.000 0.500 0.000
Pt 0.500 0.000 0.000
Pt 0.311 0.000 0.689
Pt 0.000 0.689 0.311
Pt 0.347 0.840 0.347
Pt 0.000 0.311 0.689
Pt 0.689 0.311 0.000
Pt 0.653 0.160 0.653
Pt 0.653 0.653 0.160
Pt 0.311 0.689 0.000
Pt 0.840 0.347 0.347
Pt 0.160 0.653 0.653
Pt 0.347 0.347 0.840
Dy 0.107 0.107 0.107
Dy 0.893 0.893 0.893

Results
calculated volume	18.5	A^3/atom
E	-123.216	eV for the cell shown



[3]
Compound: NdDy3Pt2
Source: the Alexandria database
Functional: PBE-GGA
Structure: relaxed

Cell: 4.803 7.215 8.880 Å, 90.00 90.00 90.00°
Element x y z (fractional)
Dy 0.500 0.644 0.165
Dy 0.000 0.357 0.327
Dy 0.000 0.991 0.080
Dy 0.500 0.144 0.835
Dy 0.000 0.857 0.673
Dy 0.000 0.491 0.920
Nd 0.500 0.008 0.419
Nd 0.500 0.508 0.581
Pt 0.000 0.753 0.336
Pt 0.500 0.246 0.155
Pt 0.000 0.253 0.664
Pt 0.500 0.746 0.845

Results
calculated volume	25.6	A^3/atom
distance to the lowest polymorph of the same formula	0	meV/atom



[4]
Compound: NdDyPt
Source: the Alexandria database
Functional: PBE-GGA
Structure: relaxed

Cell: 4.950 4.950 4.950 Å, 60.00 60.00 60.00°
Element x y z (fractional)
Nd 0.000 0.000 0.000
Pt 0.250 0.250 0.250
Dy 0.500 0.500 0.500

Results
calculated volume	28.6	A^3/atom
distance to the lowest polymorph of the same formula	68	meV/atom



[5]
Compound: NdDyPt4
Source: the Alexandria database
Functional: PBE-GGA
Structure: relaxed

Cell: 5.477 5.477 5.477 Å, 60.00 60.00 60.00°
Element x y z (fractional)
Pt 0.625 0.126 0.625
Pt 0.625 0.625 0.126
Pt 0.625 0.625 0.625
Pt 0.126 0.625 0.625
Dy 0.250 0.250 0.250
Nd 0.000 0.000 0.000

Results
calculated volume	19.4	A^3/atom
E	-40.083	eV for the cell shown



[6]
Compound: NdDyPt2
Source: the Alexandria database
Functional: PBE-GGA
Structure: relaxed

Cell: 3.542 3.542 7.142 Å, 90.00 90.00 90.00°
Element x y z (fractional)
Nd 0.500 0.500 0.500
Pt 0.000 0.000 0.768
Pt 0.000 0.000 0.232
Dy 0.500 0.500 0.000

Results
calculated volume	22.4	A^3/atom
distance to the lowest polymorph of the same formula	80	meV/atom